--- w ---
The following is a PBE calculation of a relaxed structure of CaZrTa2, from the Alexandria database.

Unit cell a=3.2791 b=5.4879 c=10.1606 alpha=90.00 beta=90.00 gamma=90.00
Space group Imm2 (No. 44)
One atom of each set of equivalent atoms:
Ca: 0.0000 0.0000 0.0000 (multiplicity 2)
Zr: 0.0000 0.5000 0.2142 (multiplicity 2)
Ta: 0.0000 0.0000 0.4744 (multiplicity 2)
Ta: 0.0000 0.5000 0.7721 (multiplicity 2)

Summary:
N(E_F) in states/eV/atom: 1.3169

=====

--- x ---
The following is a PBE calculation of a relaxed structure of CaZrTa2, from the Alexandria database.

Unit cell a=4.1916 b=4.1916 c=20.8017 alpha=90.00 beta=90.00 gamma=90.00
Space group I-42d (No. 122)
One atom of each set of equivalent atoms:
Ca: 0.0000 0.0000 0.0000 (multiplicity 4)
Zr: 0.0000 0.0000 0.5000 (multiplicity 4)
Ta: 0.2333 0.2500 0.6250 (multiplicity 8)

Summary:
N(E_F) in states/eV/atom: 0.4648

=====

--- y ---
The following is a PBE calculation of a relaxed structure of CaZrTa2, from the Alexandria database.

Unit cell a=4.1766 b=4.1766 c=4.9594 alpha=90.00 beta=90.00 gamma=90.00
Space group P4/mmm (No. 123)
One atom of each set of equivalent atoms:
Ca: 0.0000 0.0000 0.0000 (multiplicity 1)
Zr: 0.5000 0.5000 0.0000 (multiplicity 1)
Ta: 0.0000 0.5000 0.5000 (multiplicity 2)

Summary:
N(E_F) in states/eV/atom: 1.1437

=====

It comes down to w, which is 87 meV per atom more stable than the next structure.

=====

--- w ---
The following is a PBE calculation of a relaxed structure of CaZr2Ta, from the Alexandria database.

Unit cell a=3.2254 b=3.2254 c=32.4654 alpha=90.00 beta=90.00 gamma=120.00
Space group R-3m (No. 166, hexagonal axes)
One atom of each set of equivalent atoms:
Ca: 0.0000 0.0000 0.0000 (multiplicity 3)
Zr: 0.0000 0.0000 0.2398 (multiplicity 6)
Ta: 0.0000 0.0000 0.5000 (multiplicity 3)

Summary:
N(E_F) in states/eV/atom: 0.9791

=====

--- x ---
The following is a PBE calculation of a relaxed structure of CaZr2Ta, from the Alexandria database.

Unit cell a=4.7821 b=4.7821 c=4.0558 alpha=90.00 beta=90.00 gamma=90.00
Space group P4/mmm (No. 123)
One atom of each set of equivalent atoms:
Ca: 0.0000 0.0000 0.0000 (multiplicity 1)
Zr: 0.0000 0.5000 0.5000 (multiplicity 2)
Ta: 0.5000 0.5000 0.0000 (multiplicity 1)

Summary:
N(E_F) in states/eV/atom: 1.4587

=====

It comes down to w, which is 161 meV per atom more stable than the next structure.

=====

--- w ---
The following is a PBE calculation of a relaxed structure of CaZr2Ta, from the Alexandria database.

Unit cell a=4.5207 b=4.5207 c=9.1625 alpha=90.00 beta=90.00 gamma=90.00
Space group I-4m2 (No. 119)
One atom of each set of equivalent atoms:
Ca: 0.0000 0.0000 0.0000 (multiplicity 2)
Zr: 0.0000 0.0000 0.5000 (multiplicity 2)
Zr: 0.0000 0.5000 0.2500 (multiplicity 2)
Ta: 0.0000 0.5000 0.7500 (multiplicity 2)

Summary:
N(E_F) in states/eV/atom: 1.5992

=====

--- x ---
The following is a PBE calculation of a relaxed structure of CaZr2Ta, from the Alexandria database.

Unit cell a=6.4911 b=9.1938 c=3.1119 alpha=90.00 beta=90.00 gamma=90.00
Space group Cmmm (No. 65)
One atom of each set of equivalent atoms:
Ca: 0.0000 0.0000 0.0000 (multiplicity 2)
Zr: 0.2500 0.2500 0.5000 (multiplicity 4)
Ta: 0.0000 0.5000 0.0000 (multiplicity 2)

Summary:
N(E_F) in states/eV/atom: 1.6009

=====

--- y ---
The following is a PBE calculation of a relaxed structure of CaZr2Ta, from the Alexandria database.

Unit cell a=3.1021 b=5.1236 c=6.3000 alpha=90.00 beta=103.69 gamma=90.00
Space group Pm (No. 6)
One atom of each set of equivalent atoms:
Ca: 0.0000 0.0000 0.0000 (multiplicity 1)
Zr: 0.3397 0.5000 0.6908 (multiplicity 1)
Zr: 0.7747 0.0000 0.4743 (multiplicity 1)
Ta: 0.5985 0.5000 0.2684 (multiplicity 1)

Summary:
N(E_F) in states/eV/atom: 1.1390

=====

--- z ---
The following is a PBE calculation of a relaxed structure of CaZr2Ta, from the Alexandria database.

Unit cell a=7.1832 b=7.1832 c=7.1832 alpha=90.00 beta=90.00 gamma=90.00
Space group F-43m (No. 216)
One atom of each set of equivalent atoms:
Ca: 0.0000 0.0000 0.0000 (multiplicity 4)
Zr: 0.0000 0.0000 0.5000 (multiplicity 4)
Zr: 0.2500 0.2500 0.7500 (multiplicity 4)
Ta: 0.2500 0.2500 0.2500 (multiplicity 4)

Summary:
N(E_F) in states/eV/atom: 1.1349

=====

It comes down to y, which is 80 meV per atom more stable than the next structure.

=====

--- w ---
The following is a PBE calculation of a relaxed structure of CaZr2Ta, from the Alexandria database.

Unit cell a=10.0904 b=3.0755 c=6.3165 alpha=90.00 beta=94.93 gamma=90.00
Space group C2/m (No. 12)
One atom of each set of equivalent atoms:
Ca: 0.0000 0.0000 0.0000 (multiplicity 2)
Zr: 0.2364 0.0000 0.7049 (multiplicity 4)
Ta: 0.0000 0.5000 0.5000 (multiplicity 2)

Summary:
N(E_F) in states/eV/atom: 1.0394

=====

--- x ---
The following is a PBE calculation of a relaxed structure of CaZr2Ta, from the Alexandria database.

Unit cell a=10.4114 b=3.0635 c=6.1892 alpha=90.00 beta=94.54 gamma=90.00
Space group Cm (No. 8)
One atom of each set of equivalent atoms:
Ca: 0.0000 0.0000 0.0000 (multiplicity 2)
Zr: 0.0043 0.5000 0.5184 (multiplicity 2)
Zr: 0.2623 0.5000 0.3029 (multiplicity 2)
Ta: 0.2433 0.0000 0.7049 (multiplicity 2)

Summary:
N(E_F) in states/eV/atom: 1.0302

=====

--- y ---
The following is a PBE calculation of a relaxed structure of CaZr2Ta, from the Alexandria database.

Unit cell a=3.3727 b=3.3727 c=9.1220 alpha=90.00 beta=90.00 gamma=90.00
Space group P4/mmm (No. 123)
One atom of each set of equivalent atoms:
Ca: 0.0000 0.0000 0.0000 (multiplicity 1)
Zr: 0.5000 0.5000 0.3145 (multiplicity 2)
Ta: 0.0000 0.0000 0.5000 (multiplicity 1)

Summary:
N(E_F) in states/eV/atom: 1.0448

=====

--- z ---
The following is a PBE calculation of a relaxed structure of CaZr2Ta, from the Alexandria database.

Unit cell a=3.1237 b=5.7239 c=10.9064 alpha=90.00 beta=90.00 gamma=90.00
Space group Immm (No. 71)
One atom of each set of equivalent atoms:
Ca: 0.0000 0.0000 0.0000 (multiplicity 2)
Zr: 0.0000 0.5000 0.2208 (multiplicity 4)
Ta: 0.0000 0.0000 0.5000 (multiplicity 2)

Summary:
N(E_F) in states/eV/atom: 1.4518

=====

It comes down to y, which is 139 meV per atom more stable than the next structure.